No. 1
# Ga3BPd PBE relaxed
data_Ga3BPd
_cell_length_a 4.310
_cell_length_b 4.310
_cell_length_c 4.310
_cell_angle_alpha 90.00
_cell_angle_beta 90.00
_cell_angle_gamma 90.00
_symmetry_space_group_name_H-M 'P m -3 m'
_symmetry_Int_Tables_number 221
_symmetry_space_group_name_Hall '-P 4 2 3'
loop_
_atom_site_label
_atom_site_fract_x
_atom_site_fract_y
_atom_site_fract_z
Ga1 0.000 0.000 0.500
B1 0.000 0.000 0.000
Pd1 0.500 0.500 0.500
# Total magnetic moment   0.0 μB/cell
# Energy above the most stable polymorph in this dataset   0 meV/atom
# Volume   16.016 Å³ per atom
# Energy relative to the elements   0.34 eV/atom

***

No. 2
# Ga3BPd PBE relaxed
data_Ga3BPd
_cell_length_a 4.766
_cell_length_b 4.766
_cell_length_c 4.766
_cell_angle_alpha 90.00
_cell_angle_beta 90.00
_cell_angle_gamma 90.00
_symmetry_space_group_name_H-M 'P m -3 m'
_symmetry_Int_Tables_number 221
_symmetry_space_group_name_Hall '-P 4 2 3'
loop_
_atom_site_label
_atom_site_fract_x
_atom_site_fract_y
_atom_site_fract_z
Ga1 0.000 0.000 0.500
B1 0.500 0.500 0.500
Pd1 0.000 0.000 0.000
# Total magnetic moment   0.0 μB/cell
# Energy above the most stable polymorph in this dataset   463 meV/atom
# Volume   21.655 Å³ per atom
# Energy relative to the elements   0.80 eV/atom

***

No. 3
# GaB3Pd PBE relaxed
data_GaB3Pd
_cell_length_a 4.138
_cell_length_b 4.138
_cell_length_c 4.138
_cell_angle_alpha 90.00
_cell_angle_beta 90.00
_cell_angle_gamma 90.00
_symmetry_space_group_name_H-M 'P m -3 m'
_symmetry_Int_Tables_number 221
_symmetry_space_group_name_Hall '-P 4 2 3'
loop_
_atom_site_label
_atom_site_fract_x
_atom_site_fract_y
_atom_site_fract_z
Ga1 0.000 0.000 0.000
B1 0.000 0.500 0.500
Pd1 0.500 0.500 0.500
# Total magnetic moment   0.0 μB/cell
# Energy above the most stable polymorph in this dataset   0 meV/atom
# Volume   14.175 Å³ per atom
# Energy relative to the elements   1.35 eV/atom

***

No. 4
# Ga2B2Pd PBE relaxed
data_Ga2B2Pd
_cell_length_a 5.807
_cell_length_b 5.807
_cell_length_c 3.548
_cell_angle_alpha 90.00
_cell_angle_beta 90.00
_cell_angle_gamma 90.00
_symmetry_space_group_name_H-M 'P 4/m b m'
_symmetry_Int_Tables_number 127
_symmetry_space_group_name_Hall '-P 4 2ab'
loop_
_atom_site_label
_atom_site_fract_x
_atom_site_fract_y
_atom_site_fract_z
Ga1 0.200 0.300 0.000
B1 0.104 0.604 0.500
Pd1 0.000 0.000 0.500
# Total magnetic moment   0.0 μB/cell
# Energy above the most stable polymorph in this dataset   0 meV/atom
# Volume   11.965 Å³ per atom
# Energy relative to the elements   0.28 eV/atom

***

No. 5
# GaB2Pd6 PBE relaxed
data_GaB2Pd6
_cell_length_a 11.018
_cell_length_b 4.023
_cell_length_c 7.564
_cell_angle_alpha 90.00
_cell_angle_beta 126.02
_cell_angle_gamma 90.00
_symmetry_space_group_name_H-M 'C 1 2/m 1'
_symmetry_Int_Tables_number 12
loop_
_symmetry_equiv_pos_as_xyz
'x,y,z'
'-x,-y,-z'
'-x,y,-z'
'x,-y,z'
'x+1/2,y+1/2,z'
'-x+1/2,-y+1/2,-z'
'-x+1/2,y+1/2,-z'
'x+1/2,-y+1/2,z'
loop_
_atom_site_label
_atom_site_fract_x
_atom_site_fract_y
_atom_site_fract_z
Ga1 0.000 0.000 0.000
B1 0.179 0.000 0.609
Pd1 0.029 0.000 0.699
Pd2 0.160 0.500 0.047
Pd3 0.242 0.500 0.618
# Total magnetic moment   0.0 μB/cell
# Volume   15.065 Å³ per atom
# Energy relative to the elements   -0.22 eV/atom

***

No. 6
# GaB3Pd PBE relaxed
data_GaB3Pd
_cell_length_a 4.078
_cell_length_b 4.078
_cell_length_c 4.078
_cell_angle_alpha 90.00
_cell_angle_beta 90.00
_cell_angle_gamma 90.00
_symmetry_space_group_name_H-M 'P m -3 m'
_symmetry_Int_Tables_number 221
_symmetry_space_group_name_Hall '-P 4 2 3'
loop_
_atom_site_label
_atom_site_fract_x
_atom_site_fract_y
_atom_site_fract_z
Ga1 0.000 0.000 0.000
B1 0.000 0.000 0.500
Pd1 0.500 0.500 0.500
# Total magnetic moment   0.0 μB/cell
# Energy above the most stable polymorph in this dataset   511 meV/atom
# Volume   13.563 Å³ per atom
# Energy relative to the elements   1.86 eV/atom